(1)
Below is a relaxed structure of Ag13OsO6, with properties calculated at the GGA-PBE level.

Lattice parameters (Å, degrees): 9.4791 9.4791 9.4791 60.00 60.00 60.00
Closest atoms and distances in Å follow each position.
Sites, in units of the cell vectors:
Ag: 0.0000 0.0000 0.0000  12 Ag 2.84
Ag: 0.0643 0.2923 0.7077  2 O 2.51
Ag: 0.0643 0.7077 0.9357  2 O 2.51
Ag: 0.0643 0.9357 0.2923  2 O 2.51
Ag: 0.2077 0.4357 0.7923  2 O 2.51
Ag: 0.2077 0.5643 0.4357  2 O 2.51
Ag: 0.2077 0.7923 0.5643  2 O 2.51
Ag: 0.2923 0.0643 0.9357  2 O 2.51
Ag: 0.2923 0.7077 0.0643  2 O 2.51
Ag: 0.2923 0.9357 0.7077  2 O 2.51
Ag: 0.4357 0.2077 0.5643  2 O 2.51
Ag: 0.4357 0.5643 0.7923  2 O 2.51
Ag: 0.4357 0.7923 0.2077  2 O 2.51
Ag: 0.5000 0.5000 0.5000  12 Ag 2.84
Ag: 0.5643 0.2077 0.7923  2 O 2.51
Ag: 0.5643 0.4357 0.2077  2 O 2.51
Ag: 0.5643 0.7923 0.4357  2 O 2.51
Ag: 0.7077 0.0643 0.2923  2 O 2.51
Ag: 0.7077 0.2923 0.9357  2 O 2.51
Ag: 0.7077 0.9357 0.0643  2 O 2.51
Ag: 0.7923 0.2077 0.4357  2 O 2.51
Ag: 0.7923 0.4357 0.5643  2 O 2.51
Ag: 0.7923 0.5643 0.2077  2 O 2.51
Ag: 0.9357 0.0643 0.7077  2 O 2.51
Ag: 0.9357 0.2923 0.0643  2 O 2.51
Ag: 0.9357 0.7077 0.2923  2 O 2.51
Os: 0.2500 0.2500 0.2500  6 O 1.92
Os: 0.7500 0.7500 0.7500  6 O 1.92
O: 0.1069 0.1069 0.3931  1 Os 1.92
O: 0.1069 0.3931 0.1069  1 Os 1.92
O: 0.1069 0.3931 0.3931  1 Os 1.92
O: 0.3931 0.1069 0.1069  1 Os 1.92
O: 0.3931 0.1069 0.3931  1 Os 1.92
O: 0.3931 0.3931 0.1069  1 Os 1.92
O: 0.6069 0.6069 0.8931  1 Os 1.92
O: 0.6069 0.8931 0.6069  1 Os 1.92
O: 0.6069 0.8931 0.8931  1 Os 1.92
O: 0.8931 0.6069 0.6069  1 Os 1.92
O: 0.8931 0.6069 0.8931  1 Os 1.92
O: 0.8931 0.8931 0.6069  1 Os 1.92

Calculated values
**Density of states at the Fermi level**: 10.31 states/eV/cell
**Formation energy without anion corrections**: -0.2363 eV per atom
**Energy**: -4.139 eV per atom

***

(2)
Below is a relaxed structure of AgOs2O8, with properties calculated at the GGA-PBE level.

Lattice parameters (Å, degrees): 7.0030 7.0030 6.5703 117.92 117.92 50.19
Closest atoms and distances in Å follow each position.
Sites, in units of the cell vectors:
Ag: 0.0000 0.0000 0.0000  2 O 2.17
Os: 0.1992 0.1992 0.7252  4 O 1.74-1.77
Os: 0.8008 0.8008 0.2748  4 O 1.74-1.77
O: 0.0944 0.6243 0.4573  1 Os 1.74
O: 0.1515 0.1515 0.9359  1 Os 1.77
O: 0.3590 0.3590 0.8740  1 Os 1.74
O: 0.3757 0.9056 0.5427  1 Os 1.74
O: 0.6243 0.0944 0.4573  1 Os 1.74
O: 0.6410 0.6410 0.1260  1 Os 1.74
O: 0.8485 0.8485 0.0641  1 Os 1.77
O: 0.9056 0.3757 0.5427  1 Os 1.74

Calculated values
**Density of states at the Fermi level**: 6.50 states/eV/cell
**Excess energy over the best structure of this formula in the dataset**: 37 meV/atom
**Formation energy without anion corrections**: -0.7658 eV per atom
**Energy**: -6.673 eV per atom

***

(3)
Below is a relaxed structure of Ag4OsO5, with properties calculated at the GGA-PBE level.

Lattice parameters (Å, degrees): 6.4588 6.4588 6.4588 96.01 96.01 142.24
Closest atoms and distances in Å follow each position.
Sites, in units of the cell vectors:
Ag: 0.1074 0.6235 0.7309  2 O 2.30-2.33
Ag: 0.3765 0.1074 0.4839  2 O 2.30-2.33
Ag: 0.6235 0.8926 0.5161  2 O 2.30-2.33
Ag: 0.8926 0.3765 0.2691  2 O 2.30-2.33
Os: 0.6311 0.6311 0.0000  5 O 1.73-1.86
O: 0.2161 0.2161 0.0000  1 Os 1.73
O: 0.5720 0.5759 0.7024  1 Os 1.86
O: 0.5759 0.8735 0.0039  1 Os 1.86
O: 0.8696 0.5720 0.9961  1 Os 1.86
O: 0.8735 0.8696 0.2976  1 Os 1.86

Calculated values
**Density of states at the Fermi level**: 0.47 states/eV/cell
**Formation energy without anion corrections**: -0.4367 eV per atom
**Energy**: -5.179 eV per atom

***

(4)
Below is a relaxed structure of AgP2OsO, with properties calculated at the GGA-PBE level.

Lattice parameters (Å, degrees): 4.7973 4.7973 3.6784 90.00 90.00 90.00
Closest atoms and distances in Å follow each position.
Sites, in units of the cell vectors:
Ag: 0.0000 0.0000 0.0000  8 P 3.02
P: 0.0000 0.5000 0.5000  2 Os 2.40
P: 0.5000 0.0000 0.5000  2 Os 2.40
Os: 0.5000 0.5000 0.5000  2 O 1.84
O: 0.5000 0.5000 0.0000  2 Os 1.84

Calculated values
**Density of states at the Fermi level**: 2.48 states/eV/cell
**Excess energy over the best structure of this formula in the dataset**: 0 meV/atom
**Formation energy without anion corrections**: 0.2028 eV per atom
**Energy**: -5.769 eV per atom

***

(5)
Below is a relaxed structure of AgP2OsO, with properties calculated at the GGA-PBE level.

Lattice parameters (Å, degrees): 4.7412 4.7412 3.8070 90.00 90.00 90.00
Closest atoms and distances in Å follow each position.
Sites, in units of the cell vectors:
Ag: 0.0000 0.0000 0.0000  2 O 1.90
P: 0.0000 0.5000 0.0000  2 Ag 2.37
P: 0.5000 0.0000 0.0000  2 Ag 2.37
Os: 0.5000 0.5000 0.5000  8 P 3.04, 4 O 3.35
O: 0.0000 0.0000 0.5000  2 Ag 1.90

Calculated values
**Density of states at the Fermi level**: 5.24 states/eV/cell
**Excess energy over the best structure of this formula in the dataset**: 1354 meV/atom
**Formation energy without anion corrections**: 1.5572 eV per atom
**Energy**: -4.415 eV per atom

***

(6)
Below is a relaxed structure of AgPOsO2, with properties calculated at the GGA-PBE level.

Lattice parameters (Å, degrees): 3.7430 3.7430 5.3389 90.00 90.00 90.00
Closest atoms and distances in Å follow each position.
Sites, in units of the cell vectors:
Ag: 0.0000 0.0000 0.0000  4 P 2.65
P: 0.5000 0.5000 0.0000  4 Ag 2.65, 2 Os 2.67
Os: 0.5000 0.5000 0.5000  4 O 1.87
O: 0.0000 0.5000 0.5000  2 Os 1.87
O: 0.5000 0.0000 0.5000  2 Os 1.87

Calculated values
**Density of states at the Fermi level**: 4.24 states/eV/cell
**Excess energy over the best structure of this formula in the dataset**: 0 meV/atom
**Formation energy without anion corrections**: -0.3297 eV per atom
**Energy**: -6.211 eV per atom

***

(7)
Below is a relaxed structure of AgPOsO2, with properties calculated at the GGA-PBE level.

Lattice parameters (Å, degrees): 3.8585 3.8585 5.2100 90.00 90.00 90.00
Closest atoms and distances in Å follow each position.
Sites, in units of the cell vectors:
Ag: 0.0000 0.0000 0.0000  4 O 1.93
P: 0.0000 0.0000 0.5000  2 Ag 2.61, 4 Os 2.73
Os: 0.5000 0.5000 0.5000  4 P 2.73
O: 0.0000 0.5000 0.0000  2 Ag 1.93
O: 0.5000 0.0000 0.0000  2 Ag 1.93

Calculated values
**Density of states at the Fermi level**: 4.55 states/eV/cell
**Excess energy over the best structure of this formula in the dataset**: 1655 meV/atom
**Formation energy without anion corrections**: 1.3255 eV per atom
**Energy**: -4.556 eV per atom

***

(8)
Below is a relaxed structure of AgP2OsO8, with properties calculated at the GGA-PBE level.

Lattice parameters (Å, degrees): 4.9124 4.9124 8.0039 95.55 95.55 64.60
Closest atoms and distances in Å follow each position.
Sites, in units of the cell vectors:
Ag: 0.0000 0.0000 0.0000  2 O 2.16
P: 0.3311 0.3311 0.2975  4 O 1.50-1.57
P: 0.6689 0.6689 0.7025  4 O 1.50-1.57
Os: 0.0000 0.0000 0.5000  6 O 1.95-1.98
O: 0.2058 0.6848 0.3242  1 P 1.57
O: 0.2226 0.2226 0.4448  1 P 1.56
O: 0.2450 0.2450 0.1229  1 P 1.50
O: 0.3152 0.7942 0.6758  1 P 1.57
O: 0.6848 0.2058 0.3242  1 P 1.57
O: 0.7550 0.7550 0.8771  1 P 1.50
O: 0.7774 0.7774 0.5552  1 P 1.56
O: 0.7942 0.3152 0.6758  1 P 1.57

Calculated values
**Density of states at the Fermi level**: 2.13 states/eV/cell
**Formation energy without anion corrections**: -1.4931 eV per atom
**Energy**: -6.874 eV per atom